[1]
VASP calculation (GGA-PBEsol) on a geometry-optimized ZnCo2Ni structure.

Cell and atoms, written as CIF:
```
data_ZnCo2Ni
_chemical_formula_sum 'Zn1 Co2 Ni1'
_symmetry_space_group_name_H-M 'P 4 m m'
_symmetry_Int_Tables_number 99
_cell_length_a 2.5373
_cell_length_b 2.5373
_cell_length_c 6.7949
_cell_angle_alpha 90.00
_cell_angle_beta 90.00
_cell_angle_gamma 90.00
loop_
_symmetry_equiv_pos_as_xyz
'x,y,z'
'-y,x,z'
'-x,-y,z'
'y,-x,z'
'-x,y,z'
'y,x,z'
'x,-y,z'
'-y,-x,z'
loop_
_atom_site_label
_atom_site_type_symbol
_atom_site_fract_x
_atom_site_fract_y
_atom_site_fract_z
_atom_site_occupancy
Zn1 Zn 0.0000 0.0000 0.0000 1
Co1 Co 0.0000 0.0000 0.4946 1
Co2 Co 0.5000 0.5000 0.2654 1
Ni1 Ni 0.5000 0.5000 0.7397 1
```

Properties
The energy relative to the elements comes out at -0.2 eV/f.u. The calculation puts the density of states at the Fermi level at 3.3 states/eV/f.u. The total energy is -5.85 eV per atom.


[2]
VASP calculation (GGA-PBEsol) on a geometry-optimized Zr2NiSb structure.

Cell and atoms, written as CIF:
```
data_Zr2NiSb
_chemical_formula_sum 'Zr4 Ni2 Sb2'
_symmetry_space_group_name_H-M 'C m m m'
_symmetry_Int_Tables_number 65
_symmetry_space_group_name_Hall '-C 2 2'
_cell_length_a 4.0680
_cell_length_b 4.7341
_cell_length_c 7.8167
_cell_angle_alpha 90.00
_cell_angle_beta 90.00
_cell_angle_gamma 90.00
loop_
_atom_site_label
_atom_site_type_symbol
_atom_site_fract_x
_atom_site_fract_y
_atom_site_fract_z
_atom_site_occupancy
Zr1 Zr 0.0000 0.0000 0.2147 1
Ni1 Ni 0.0000 0.5000 0.0000 1
Sb1 Sb 0.0000 0.5000 0.5000 1
```

Properties
The calculation puts the density of states at the Fermi level at 3.2 states/eV/f.u. The uncorrected formation energy comes out at -34.7 kJ per mole of atoms. The total energy is -7.58 eV per atom.


[3]
VASP calculation (GGA-PBEsol) on a geometry-optimized ScTc2Os structure.

Cell and atoms, written as CIF:
```
data_ScTc2Os
_chemical_formula_sum 'Sc4 Tc8 Os4'
_symmetry_space_group_name_H-M 'F -4 3 m'
_symmetry_Int_Tables_number 216
_symmetry_space_group_name_Hall 'F -4 2 3'
_cell_length_a 6.1991
_cell_length_b 6.1991
_cell_length_c 6.1991
_cell_angle_alpha 90.00
_cell_angle_beta 90.00
_cell_angle_gamma 90.00
loop_
_atom_site_label
_atom_site_type_symbol
_atom_site_fract_x
_atom_site_fract_y
_atom_site_fract_z
_atom_site_occupancy
Sc1 Sc 0.0000 0.0000 0.0000 1
Tc1 Tc 0.0000 0.0000 0.5000 1
Tc2 Tc 0.2500 0.2500 0.2500 1
Os1 Os 0.2500 0.2500 0.7500 1
```

Properties
The energy relative to the elements comes out at -0.1 eV/f.u. The calculation puts the density of states at the Fermi level at 3.9 states/eV/f.u. The total energy is -10.37 eV per atom.


[4]
VASP calculation (GGA-PBEsol) on a geometry-optimized Mg5Ta structure.

Cell and atoms, written as CIF:
```
data_Mg5Ta
_chemical_formula_sum 'Mg10 Ta2'
_symmetry_space_group_name_H-M 'C 1 m 1'
_symmetry_Int_Tables_number 8
_cell_length_a 11.5127
_cell_length_b 2.9019
_cell_length_c 7.5887
_cell_angle_alpha 90.00
_cell_angle_beta 104.23
_cell_angle_gamma 90.00
loop_
_symmetry_equiv_pos_as_xyz
'x,y,z'
'x,-y,z'
'x+1/2,y+1/2,z'
'x+1/2,-y+1/2,z'
loop_
_atom_site_label
_atom_site_type_symbol
_atom_site_fract_x
_atom_site_fract_y
_atom_site_fract_z
_atom_site_occupancy
Mg1 Mg 0.0000 0.0000 0.0000 1
Mg2 Mg 0.0650 0.0000 0.6094 1
Mg3 Mg 0.1735 0.5000 0.3162 1
Mg4 Mg 0.2392 0.5000 0.9552 1
Mg5 Mg 0.3387 0.0000 0.6438 1
Ta1 Ta 0.4027 0.0000 0.2843 1
```

Properties
The energy relative to the elements comes out at 1.2 eV/f.u. The calculation puts the density of states at the Fermi level at 2.9 states/eV/f.u. The total energy is -3.32 eV per atom.


[5]
VASP calculation (GGA-PBEsol) on a geometry-optimized KCa2Mn structure.

Cell and atoms, written as CIF:
```
data_KCa2Mn
_chemical_formula_sum 'K1 Ca2 Mn1'
_symmetry_space_group_name_H-M 'P 4 m m'
_symmetry_Int_Tables_number 99
_cell_length_a 3.9872
_cell_length_b 3.9872
_cell_length_c 9.4487
_cell_angle_alpha 90.00
_cell_angle_beta 90.00
_cell_angle_gamma 90.00
loop_
_symmetry_equiv_pos_as_xyz
'x,y,z'
'-y,x,z'
'-x,-y,z'
'y,-x,z'
'-x,y,z'
'y,x,z'
'x,-y,z'
'-y,-x,z'
loop_
_atom_site_label
_atom_site_type_symbol
_atom_site_fract_x
_atom_site_fract_y
_atom_site_fract_z
_atom_site_occupancy
K1 K 0.0000 0.0000 0.0000 1
Ca1 Ca 0.0000 0.0000 0.4003 1
Ca2 Ca 0.5000 0.5000 0.6518 1
Mn1 Mn 0.5000 0.5000 0.2692 1
```

Properties
The energy relative to the elements comes out at 2.3 eV/f.u. The calculation puts the density of states at the Fermi level at 4.4 states/eV/f.u. The total energy is -3.22 eV per atom.


[6]
VASP calculation (GGA-PBEsol) on a geometry-optimized RbBaInI2 structure.

Cell and atoms, written as CIF:
```
data_RbBaInI2
_chemical_formula_sum 'Rb1 Ba1 In1 I2'
_symmetry_space_group_name_H-M 'P 4/m m m'
_symmetry_Int_Tables_number 123
_symmetry_space_group_name_Hall '-P 4 2'
_cell_length_a 6.3688
_cell_length_b 6.3688
_cell_length_c 6.2536
_cell_angle_alpha 90.00
_cell_angle_beta 90.00
_cell_angle_gamma 90.00
loop_
_atom_site_label
_atom_site_type_symbol
_atom_site_fract_x
_atom_site_fract_y
_atom_site_fract_z
_atom_site_occupancy
Rb1 Rb 0.0000 0.0000 0.0000 1
Ba1 Ba 0.5000 0.5000 0.5000 1
In1 In 0.0000 0.0000 0.5000 1
I1 I 0.0000 0.5000 0.0000 1
```

Properties
The calculation puts the density of states at the Fermi level at 3.3 states/eV/f.u. The uncorrected formation energy comes out at -38.2 kJ per mole of atoms. The total energy is -2.33 eV per atom.


[7]
VASP calculation (GGA-PBEsol) on a geometry-optimized Ag3SI structure.

Cell and atoms, written as CIF:
```
data_Ag3SI
_chemical_formula_sum 'Ag3 S1 I1'
_symmetry_space_group_name_H-M 'P m -3 m'
_symmetry_Int_Tables_number 221
_symmetry_space_group_name_Hall '-P 4 2 3'
_cell_length_a 5.1812
_cell_length_b 5.1812
_cell_length_c 5.1812
_cell_angle_alpha 90.00
_cell_angle_beta 90.00
_cell_angle_gamma 90.00
loop_
_atom_site_label
_atom_site_type_symbol
_atom_site_fract_x
_atom_site_fract_y
_atom_site_fract_z
_atom_site_occupancy
Ag1 Ag 0.0000 0.0000 0.5000 1
S1 S 0.5000 0.5000 0.5000 1
I1 I 0.0000 0.0000 0.0000 1
```

Properties
The calculation puts the density of states at the Fermi level at 2.4 states/eV/f.u. The uncorrected formation energy comes out at 82.6 kJ per mole of atoms. The total energy is -2.36 eV per atom.


[8]
VASP calculation (GGA-PBEsol) on a geometry-optimized InOs2Au structure.

Cell and atoms, written as CIF:
```
data_InOs2Au
_chemical_formula_sum 'In1 Os2 Au1'
_symmetry_space_group_name_H-M 'P 1 2/m 1'
_symmetry_Int_Tables_number 10
_cell_length_a 2.8318
_cell_length_b 4.7734
_cell_length_c 4.7853
_cell_angle_alpha 90.00
_cell_angle_beta 91.10
_cell_angle_gamma 90.00
loop_
_symmetry_equiv_pos_as_xyz
'x,y,z'
'-x,-y,-z'
'-x,y,-z'
'x,-y,z'
loop_
_atom_site_label
_atom_site_type_symbol
_atom_site_fract_x
_atom_site_fract_y
_atom_site_fract_z
_atom_site_occupancy
In1 In 0.0000 0.0000 0.0000 1
Os1 Os 0.2486 0.5000 0.7388 1
Au1 Au 0.5000 0.0000 0.5000 1
```

Properties
The energy relative to the elements comes out at 2.6 eV/f.u. The calculation puts the density of states at the Fermi level at 3.7 states/eV/f.u. The total energy is -7.18 eV per atom.


[9]
VASP calculation (GGA-PBEsol) on a geometry-optimized SrLiN structure.

Cell and atoms, written as CIF:
```
data_SrLiN
_chemical_formula_sum 'Sr2 Li2 N2'
_symmetry_space_group_name_H-M 'P 42/m m c'
_symmetry_Int_Tables_number 131
_symmetry_space_group_name_Hall '-P 4c 2'
_cell_length_a 3.8943
_cell_length_b 3.8943
_cell_length_c 6.9848
_cell_angle_alpha 90.00
_cell_angle_beta 90.00
_cell_angle_gamma 90.00
loop_
_atom_site_label
_atom_site_type_symbol
_atom_site_fract_x
_atom_site_fract_y
_atom_site_fract_z
_atom_site_occupancy
Sr1 Sr 0.0000 0.0000 0.2500 1
Li1 Li 0.5000 0.5000 0.0000 1
N1 N 0.0000 0.5000 0.0000 1
```

Properties
The calculation puts the density of states at the Fermi level at 0.0 states/eV/f.u. The uncorrected formation energy comes out at -56.2 kJ per mole of atoms. The total energy is -4.69 eV per atom.


[10]
VASP calculation (GGA-PBEsol) on a geometry-optimized SmAlCu structure.

Cell and atoms, written as CIF:
```
data_SmAlCu
_chemical_formula_sum 'Sm3 Al3 Cu3'
_symmetry_space_group_name_H-M 'P -6 2 m'
_symmetry_Int_Tables_number 189
_symmetry_space_group_name_Hall 'P -6 -2'
_cell_length_a 7.0513
_cell_length_b 7.0513
_cell_length_c 4.0179
_cell_angle_alpha 90.00
_cell_angle_beta 90.00
_cell_angle_gamma 120.00
loop_
_atom_site_label
_atom_site_type_symbol
_atom_site_fract_x
_atom_site_fract_y
_atom_site_fract_z
_atom_site_occupancy
Sm1 Sm 0.0000 0.4170 0.0000 1
Al1 Al 0.0000 0.7672 0.5000 1
Cu1 Cu 0.0000 0.0000 0.0000 1
Cu2 Cu 0.3333 0.6667 0.5000 1
```

Properties
The energy relative to the elements comes out at -1.2 eV/f.u. The calculation puts the density of states at the Fermi level at 1.9 states/eV/f.u. The total energy is -4.92 eV per atom.


[11]
VASP calculation (GGA-PBEsol) on a geometry-optimized CaSeBr2 structure.

Cell and atoms, written as CIF:
```
data_CaSeBr2
_chemical_formula_sum 'Ca2 Se2 Br4'
_symmetry_space_group_name_H-M 'I m m m'
_symmetry_Int_Tables_number 71
_symmetry_space_group_name_Hall '-I 2 2'
_cell_length_a 4.0457
_cell_length_b 4.5206
_cell_length_c 12.7989
_cell_angle_alpha 90.00
_cell_angle_beta 90.00
_cell_angle_gamma 90.00
loop_
_atom_site_label
_atom_site_type_symbol
_atom_site_fract_x
_atom_site_fract_y
_atom_site_fract_z
_atom_site_occupancy
Ca1 Ca 0.0000 0.0000 0.0000 1
Se1 Se 0.0000 0.0000 0.5000 1
Br1 Br 0.0000 0.5000 0.3364 1
```

Properties
The calculation puts the density of states at the Fermi level at 4.3 states/eV/f.u. The uncorrected formation energy comes out at -92.3 kJ per mole of atoms. The total energy is -3.39 eV per atom.


[12]
VASP calculation (GGA-PBEsol) on a geometry-optimized CdCu3 structure.

Cell and atoms, written as CIF:
```
data_CdCu3
_chemical_formula_sum 'Cd1 Cu3'
_symmetry_space_group_name_H-M 'P 4/m m m'
_symmetry_Int_Tables_number 123
_symmetry_space_group_name_Hall '-P 4 2'
_cell_length_a 2.9650
_cell_length_b 2.9650
_cell_length_c 6.0594
_cell_angle_alpha 90.00
_cell_angle_beta 90.00
_cell_angle_gamma 90.00
loop_
_atom_site_label
_atom_site_type_symbol
_atom_site_fract_x
_atom_site_fract_y
_atom_site_fract_z
_atom_site_occupancy
Cd1 Cd 0.0000 0.0000 0.0000 1
Cu1 Cu 0.0000 0.0000 0.5000 1
Cu2 Cu 0.5000 0.5000 0.2862 1
```

Properties
The energy relative to the elements comes out at 0.2 eV/f.u. The calculation puts the density of states at the Fermi level at 1.1 states/eV/f.u. The total energy is -3.50 eV per atom.


[13]
VASP calculation (GGA-PBEsol) on a geometry-optimized SrMnTl structure.

Cell and atoms, written as CIF:
```
data_SrMnTl
_chemical_formula_sum 'Sr4 Mn4 Tl4'
_symmetry_space_group_name_H-M 'F -4 3 m'
_symmetry_Int_Tables_number 216
_symmetry_space_group_name_Hall 'F -4 2 3'
_cell_length_a 7.1883
_cell_length_b 7.1883
_cell_length_c 7.1883
_cell_angle_alpha 90.00
_cell_angle_beta 90.00
_cell_angle_gamma 90.00
loop_
_atom_site_label
_atom_site_type_symbol
_atom_site_fract_x
_atom_site_fract_y
_atom_site_fract_z
_atom_site_occupancy
Sr1 Sr 0.0000 0.0000 0.0000 1
Mn1 Mn 0.0000 0.0000 0.5000 1
Tl1 Tl 0.2500 0.2500 0.2500 1
```

Properties
The energy relative to the elements comes out at 1.5 eV/f.u. The calculation puts the density of states at the Fermi level at 1.7 states/eV/f.u. The total energy is -4.26 eV per atom.


[14]
VASP calculation (GGA-PBEsol) on a geometry-optimized BeTeBr structure.

Cell and atoms, written as CIF:
```
data_BeTeBr
_chemical_formula_sum 'Be4 Te4 Br4'
_symmetry_space_group_name_H-M 'F -4 3 m'
_symmetry_Int_Tables_number 216
_symmetry_space_group_name_Hall 'F -4 2 3'
_cell_length_a 6.7644
_cell_length_b 6.7644
_cell_length_c 6.7644
_cell_angle_alpha 90.00
_cell_angle_beta 90.00
_cell_angle_gamma 90.00
loop_
_atom_site_label
_atom_site_type_symbol
_atom_site_fract_x
_atom_site_fract_y
_atom_site_fract_z
_atom_site_occupancy
Be1 Be 0.0000 0.0000 0.0000 1
Te1 Te 0.2500 0.2500 0.2500 1
Br1 Br 0.0000 0.0000 0.5000 1
```

Properties
The calculation puts the density of states at the Fermi level at 1.5 states/eV/f.u. The uncorrected formation energy comes out at 66.6 kJ per mole of atoms. The total energy is -2.44 eV per atom.